Material: Na2PaFe2O6
Method: DFT, PBE+U
State: optimized geometry

The value obtained for the total energy is -6.6593 eV per atom. The value obtained for the volume is 140 Å³/cell.

It has space group P-31m (No. 162), with a = 5.3406 Å, b = 5.3406 Å, c = 5.6500 Å, α = 90.00°, β = 90.00° and γ = 120.00°. Symmetry generates all atoms from Na at (0.3333, 0.6667, 0.0000), Pa at (0.0000, 0.0000, 0.5000), Fe at (0.3333, 0.6667, 0.5000) and O at (0.0000, 0.3577, 0.6924).